Below is a relaxed BiTe3Ru crystal, with properties calculated at the PBE level.

The structure in CIF format:
```
data_BiTe3Ru
_chemical_formula_sum 'Bi1 Te3 Ru1'
_space_group_name_H-M_alt 'P m -3 m'
_space_group_IT_number 221
_space_group_name_Hall '-P 4 2 3'
_cell_length_a 5.230
_cell_length_b 5.230
_cell_length_c 5.230
_cell_angle_alpha 90.00
_cell_angle_beta 90.00
_cell_angle_gamma 90.00
loop_
_atom_site_label
_atom_site_type_symbol
_atom_site_fract_x
_atom_site_fract_y
_atom_site_fract_z
Bi1 Bi 0.000 0.000 0.000
Te1 Te 0.000 0.500 0.500
Ru1 Ru 0.500 0.500 0.500
```

**Electronic total energy**: -20.8 eV for the cell shown
**DOS at the Fermi energy**: 1.6895 states/eV/atom
**Total magnetic moment**: 0.0007 μB per atom
**Crystal system**: cubic

Below is a relaxed BiTe2Ru crystal, with properties calculated at the PBE level.

The structure in CIF format:
```
data_BiTe2Ru
_chemical_formula_sum 'Bi3 Te6 Ru3'
_space_group_name_H-M_alt 'R -3 m'
_space_group_IT_number 166
_space_group_name_Hall '-R 3 2"'
_cell_length_a 3.1894
_cell_length_b 3.1894
_cell_length_c 38.2711
_cell_angle_alpha 90.00
_cell_angle_beta 90.00
_cell_angle_gamma 120.00
loop_
_atom_site_label
_atom_site_type_symbol
_atom_site_fract_x
_atom_site_fract_y
_atom_site_fract_z
Bi1 Bi 0.0000 0.0000 0.0000
Te1 Te 0.0000 0.0000 0.4334
Ru1 Ru 0.0000 0.0000 0.5000
```

**Electronic total energy**: -51.4 eV for the cell shown
**DOS at the Fermi energy**: 1.1196 states/eV/atom
**Total magnetic moment**: 0.0000 μB per atom
**Crystal system**: trigonal

Below is a relaxed BiTe2Ru crystal, with properties calculated at the PBE level.

The structure in CIF format:
```
data_BiTe2Ru
_chemical_formula_sum 'Bi4 Te8 Ru4'
_space_group_name_H-M_alt 'I -4 2 d'
_space_group_IT_number 122
_space_group_name_Hall 'I -4 2bw'
_cell_length_a 7.029
_cell_length_b 7.029
_cell_length_c 10.591
_cell_angle_alpha 90.00
_cell_angle_beta 90.00
_cell_angle_gamma 90.00
loop_
_atom_site_label
_atom_site_type_symbol
_atom_site_fract_x
_atom_site_fract_y
_atom_site_fract_z
Bi1 Bi 0.000 0.000 0.000
Te1 Te 0.182 0.250 0.625
Ru1 Ru 0.000 0.000 0.500
```

**Electronic total energy**: -73.9 eV for the cell shown
**DOS at the Fermi energy**: 0.8292 states/eV/atom
**Total magnetic moment**: 0.0000 μB per atom
**Crystal system**: tetragonal

Below is a relaxed Th4BiTe2Ru crystal, with properties calculated at the PBE level.

The structure in CIF format:
```
data_Th4BiTe2Ru
_chemical_formula_sum 'Th4 Bi1 Te2 Ru1'
_space_group_name_H-M_alt 'P 1 2/m 1'
_space_group_IT_number 10
_cell_length_a 7.856
_cell_length_b 4.263
_cell_length_c 7.944
_cell_angle_alpha 90.00
_cell_angle_beta 107.60
_cell_angle_gamma 90.00
loop_
_space_group_symop_operation_xyz
'x,y,z'
'-x,-y,-z'
'-x,y,-z'
'x,-y,z'
loop_
_atom_site_label
_atom_site_type_symbol
_atom_site_fract_x
_atom_site_fract_y
_atom_site_fract_z
Th1 Th 0.205 0.000 0.205
Th2 Th 0.231 0.500 0.776
Bi1 Bi 0.000 0.000 0.500
Te1 Te 0.500 0.000 0.000
Te2 Te 0.500 0.500 0.500
Ru1 Ru 0.000 0.500 0.000
```

**Electronic total energy**: -55.6 eV for the cell shown
**DOS at the Fermi energy**: 0.8618 states/eV/atom
**Total magnetic moment**: 0.0000 μB per atom
**Crystal system**: monoclinic

Below is a relaxed Th6BiRu2 crystal, with properties calculated at the PBE level.

The structure in CIF format:
```
data_Th6BiRu2
_chemical_formula_sum 'Th24 Bi4 Ru8'
_space_group_name_H-M_alt 'C 1 2/c 1'
_space_group_IT_number 15
_cell_length_a 16.042
_cell_length_b 10.509
_cell_length_c 6.396
_cell_angle_alpha 90.00
_cell_angle_beta 107.20
_cell_angle_gamma 90.00
loop_
_space_group_symop_operation_xyz
'x,y,z'
'-x,-y,-z'
'-x,y,-z+1/2'
'x,-y,z+1/2'
'x+1/2,y+1/2,z'
'-x+1/2,-y+1/2,-z'
'-x+1/2,y+1/2,-z+1/2'
'x+1/2,-y+1/2,z+1/2'
loop_
_atom_site_label
_atom_site_type_symbol
_atom_site_fract_x
_atom_site_fract_y
_atom_site_fract_z
Th1 Th 0.100 0.073 0.175
Th2 Th 0.100 0.427 0.175
Th3 Th 0.192 0.250 0.698
Bi1 Bi 0.000 0.250 0.750
Ru1 Ru 0.250 0.010 0.000
```

**Electronic total energy**: -278.5 eV for the cell shown
**DOS at the Fermi energy**: 1.1805 states/eV/atom
**Total magnetic moment**: 0.0000 μB per atom
**Crystal system**: monoclinic
**Energy of formation**: -0.2963 eV per atom

Below is a relaxed Th5Bi2Ru2 crystal, with properties calculated at the PBE level.

The structure in CIF format:
```
data_Th5Bi2Ru2
_chemical_formula_sum 'Th20 Bi8 Ru8'
_space_group_name_H-M_alt 'I m m a'
_space_group_IT_number 74
_space_group_name_Hall '-I 2b 2'
_cell_length_a 6.760
_cell_length_b 20.068
_cell_length_c 8.580
_cell_angle_alpha 90.00
_cell_angle_beta 90.00
_cell_angle_gamma 90.00
loop_
_atom_site_label
_atom_site_type_symbol
_atom_site_fract_x
_atom_site_fract_y
_atom_site_fract_z
Th1 Th 0.000 0.140 0.076
Th2 Th 0.000 0.250 0.621
Th3 Th 0.250 0.017 0.750
Bi1 Bi 0.000 0.104 0.456
Ru1 Ru 0.000 0.000 0.000
Ru2 Ru 0.000 0.250 0.926
```

**Electronic total energy**: -264.5 eV for the cell shown
**DOS at the Fermi energy**: 0.8460 states/eV/atom
**Total magnetic moment**: 0.0000 μB per atom
**Crystal system**: orthorhombic
**Energy of formation**: -0.3007 eV per atom